No. 1
A plane-wave DFT calculation with PBE was carried out for a geometry-optimized DyCd2Ag structure.

```
DyCd2Ag
1.0
4.4487 0.0000 0.0000
0.0000 4.4487 0.0000
0.0000 0.0000 4.6996
Dy Cd Ag
1 2 1
direct
0.0000 0.0000 0.0000
0.0000 0.5000 0.5000
0.5000 0.0000 0.5000
0.5000 0.5000 0.0000
```

Summary:
* energy of formation from the pure elements: -0.192 eV per atom
* V: 93.01 Å³ per cell

=====

No. 2
A plane-wave DFT calculation with PBE was carried out for a geometry-optimized DyCd3Ag4 structure.

```
DyCd3Ag4
1.0
9.6495 0.0000 0.0000
0.0000 7.0810 0.0000
0.0000 0.0000 4.8249
Dy Cd Ag
2 6 8
direct
0.0000 0.0000 0.0000
0.5000 0.0000 0.0000
0.0000 0.5000 0.0000
0.2500 0.0000 0.4986
0.2500 0.5000 0.4978
0.5000 0.5000 0.0000
0.7500 0.0000 0.5014
0.7500 0.5000 0.5022
0.0000 0.2628 0.5000
0.0000 0.7372 0.5000
0.2500 0.2627 0.9978
0.2500 0.7373 0.9978
0.5000 0.2628 0.5000
0.5000 0.7372 0.5000
0.7500 0.2627 0.0022
0.7500 0.7373 0.0022
```

Summary:
* energy of formation from the pure elements: -0.127 eV per atom
* V: 329.67 Å³ per cell

=====

No. 3
A plane-wave DFT calculation with PBE was carried out for a geometry-optimized Dy6Cd2Ag structure.

```
Dy6Cd2Ag
1.0
6.2283 0.0000 0.0000
0.0000 9.3122 0.0000
-4.7784 0.0000 8.9045
Dy Cd Ag
12 4 2
direct
0.0608 0.1713 0.4632
0.0608 0.3287 0.9632
0.3592 0.6849 0.4421
0.3592 0.8151 0.9421
0.4195 0.0343 0.3034
0.4195 0.4657 0.8034
0.5805 0.5343 0.1966
0.5805 0.9657 0.6966
0.6408 0.1849 0.0579
0.6408 0.3151 0.5579
0.9392 0.6713 0.0368
0.9392 0.8287 0.5368
0.1391 0.1050 0.7688
0.1391 0.3950 0.2688
0.8609 0.6050 0.7312
0.8609 0.8950 0.2312
0.0000 0.0000 0.0000
0.0000 0.5000 0.5000
```

Summary:
* energy of formation from the pure elements: -0.078 eV per atom
* V: 516.45 Å³ per cell

=====

No. 4
A plane-wave DFT calculation with PBE was carried out for a geometry-optimized Dy4Cd5Ag structure.

```
Dy4Cd5Ag
1.0
7.8277 -2.5572 0.0000
7.8277 2.5572 0.0000
-1.8489 0.0000 6.1917
Dy Cd Ag
4 5 1
direct
0.0962 0.0962 0.3906
0.3106 0.3106 0.1951
0.6894 0.6894 0.8049
0.9038 0.9038 0.6094
0.0998 0.0998 0.9117
0.2994 0.2994 0.6958
0.5000 0.5000 0.0000
0.7006 0.7006 0.3042
0.9002 0.9002 0.0883
0.5000 0.5000 0.5000
```

Summary:
* energy of formation from the pure elements: -0.282 eV per atom
* V: 247.88 Å³ per cell
* polymorph energy (0 for the lowest one): 0 meV per atom

=====

No. 5
A plane-wave DFT calculation with PBE was carried out for a geometry-optimized DyCd5Ag6 structure.

```
DyCd5Ag6
1.0
4.8005 0.0000 0.0000
-0.0007 7.1027 0.0000
-2.3262 -0.0116 7.0871
Dy Cd Ag
1 5 6
direct
0.0000 0.0000 0.0000
0.0000 0.5000 0.0000
0.3407 0.0002 0.6686
0.3448 0.5004 0.6757
0.6552 0.4996 0.3243
0.6593 0.9998 0.3314
0.1644 0.2578 0.3430
0.1636 0.7425 0.3427
0.5004 0.2563 0.9998
0.4996 0.7437 0.0002
0.8364 0.2575 0.6573
0.8356 0.7422 0.6570
```

Summary:
* energy of formation from the pure elements: -0.100 eV per atom
* V: 241.65 Å³ per cell
* polymorph energy (0 for the lowest one): 0 meV per atom

=====

No. 6
A plane-wave DFT calculation with PBE was carried out for a geometry-optimized DyCd3Ag3 structure.

```
DyCd3Ag3
1.0
3.6767 2.1227 6.5081
-3.6767 2.1227 6.5081
0.0000 -4.2455 6.5081
Dy Cd Ag
2 6 6
direct
0.1569 0.1569 0.1569
0.8431 0.8431 0.8431
0.0615 0.5810 0.2289
0.2289 0.0615 0.5810
0.4190 0.7711 0.9385
0.5810 0.2289 0.0615
0.7711 0.9385 0.4190
0.9385 0.4190 0.7711
0.2141 0.6769 0.4309
0.3231 0.5691 0.7859
0.4309 0.2141 0.6769
0.5691 0.7859 0.3231
0.6769 0.4309 0.2141
0.7859 0.3231 0.5691
```

Summary:
* energy of formation from the pure elements: -0.138 eV per atom
* V: 304.76 Å³ per cell
* polymorph energy (0 for the lowest one): 0 meV per atom

=====

No. 7
A plane-wave DFT calculation with PBE was carried out for a geometry-optimized DyCd5Ag6 structure.

```
DyCd5Ag6
1.0
4.7675 -6.4853 0.0000
4.7675 6.4853 0.0000
-2.0320 0.0000 3.9122
Dy Cd Ag
1 5 6
direct
0.0000 0.0000 0.0000
0.1693 0.8307 0.5000
0.3296 0.6704 0.0000
0.5000 0.5000 0.5000
0.6704 0.3296 0.0000
0.8307 0.1693 0.5000
0.0892 0.4222 0.2547
0.2569 0.2569 0.7556
0.4222 0.0892 0.2547
0.5778 0.9108 0.7453
0.7431 0.7431 0.2444
0.9108 0.5778 0.7453
```

Summary:
* energy of formation from the pure elements: -0.090 eV per atom
* V: 241.92 Å³ per cell
* polymorph energy (0 for the lowest one): 9 meV per atom

=====

No. 8
A plane-wave DFT calculation with PBE was carried out for a geometry-optimized Dy3Cd8Ag3 structure.

```
Dy3Cd8Ag3
1.0
-2.4181 5.2432 6.3184
2.4181 -5.2432 6.3184
2.4181 5.2432 -6.3184
Dy Cd Ag
3 8 3
direct
0.0000 0.0000 0.0000
0.2882 0.2882 0.0000
0.7118 0.7118 0.0000
0.0061 0.6390 0.3671
0.1430 0.8623 0.2807
0.2719 0.6390 0.6329
0.4184 0.1377 0.2807
0.5816 0.8623 0.7193
0.7281 0.3610 0.3671
0.8570 0.1377 0.7193
0.9939 0.3610 0.6329
0.3514 0.5000 0.8514
0.5000 0.0000 0.5000
0.6486 0.5000 0.1486
```

Summary:
* energy of formation from the pure elements: -0.202 eV per atom
* V: 320.44 Å³ per cell

=====

No. 9
A plane-wave DFT calculation with PBE was carried out for a geometry-optimized Dy3Cd7Ag2 structure.

```
Dy3Cd7Ag2
1.0
4.7605 0.0000 0.0000
0.0000 3.8908 0.0000
-2.3148 0.0000 15.5654
Dy Cd Ag
3 7 2
direct
0.0000 0.0000 0.0000
0.3194 0.5000 0.6432
0.6806 0.5000 0.3568
0.0788 0.5000 0.1544
0.2286 0.0000 0.4559
0.4149 0.0000 0.8336
0.5000 0.5000 0.0000
0.5851 0.0000 0.1664
0.7714 0.0000 0.5441
0.9212 0.5000 0.8456
0.1431 0.0000 0.2824
0.8569 0.0000 0.7176
```

Summary:
* energy of formation from the pure elements: -0.181 eV per atom
* V: 288.31 Å³ per cell
* polymorph energy (0 for the lowest one): 0 meV per atom

=====

No. 10
A plane-wave DFT calculation with PBE was carried out for a geometry-optimized DyCdAg4 structure.

```
DyCdAg4
1.0
0.0000 3.9421 3.9421
3.9421 0.0000 3.9421
3.9421 3.9421 0.0000
Dy Cd Ag
1 1 4
direct
0.0000 0.0000 0.0000
0.2500 0.2500 0.2500
0.1256 0.6248 0.6248
0.6248 0.1256 0.6248
0.6248 0.6248 0.1256
0.6248 0.6248 0.6248
```

Summary:
* energy of formation from the pure elements: -0.180 eV per atom
* V: 122.52 Å³ per cell

=====

No. 11
A plane-wave DFT calculation with PBE was carried out for a geometry-optimized Dy3CdAg structure.

```
Dy3CdAg
1.0
2.5979 -9.8477 0.0000
2.5979 9.8477 0.0000
0.0000 0.0000 5.1936
Dy Cd Ag
6 2 2
direct
0.0609 0.9391 0.7500
0.2493 0.7507 0.7500
0.4365 0.5635 0.7500
0.5635 0.4365 0.2500
0.7507 0.2493 0.2500
0.9391 0.0609 0.2500
0.1545 0.8455 0.2500
0.8455 0.1545 0.7500
0.3410 0.6590 0.2500
0.6590 0.3410 0.7500
```

Summary:
* energy of formation from the pure elements: -0.224 eV per atom
* V: 265.74 Å³ per cell
* polymorph energy (0 for the lowest one): 0 meV per atom

=====

No. 12
A plane-wave DFT calculation with PBE was carried out for a geometry-optimized DyCd11Ag structure.

```
DyCd11Ag
1.0
2.9430 -7.0325 0.0000
2.9430 7.0325 0.0000
-2.9423 0.0000 7.0198
Dy Cd Ag
1 11 1
direct
0.0000 0.0000 0.0000
0.0000 0.5000 0.0000
0.0020 0.6559 0.6478
0.2819 0.4921 0.7865
0.3441 0.9980 0.3522
0.4921 0.2819 0.7865
0.5000 0.0000 0.0000
0.5000 0.5000 0.5000
0.5079 0.7181 0.2135
0.6559 0.0020 0.6478
0.7181 0.5079 0.2135
0.9980 0.3441 0.3522
0.0000 0.0000 0.5000
```

Summary:
* energy of formation from the pure elements: -0.083 eV per atom
* V: 290.57 Å³ per cell

=====

Raw total energy, record by record: -10.053; -19.771; -32.992; -28.660; -27.480; -16.868; -27.369; -32.505; -28.087; -18.005; -18.693; -18.602 eV/f.u.